NaMgW: optimized geometry, PBE.

a = 4.8162 Å, b = 4.8162 Å, c = 4.8162 Å
α = 60.00°, β = 60.00°, γ = 60.00°
With the nearest neighbours (Å) after each atom.
Fractional positions:
Na (0.0000, 0.0000, 0.0000)  4 Mg 2.95
Mg (0.2500, 0.2500, 0.2500)  4 W 2.95, 4 Na 2.95
W (0.5000, 0.5000, 0.5000)  4 Mg 2.95

Results
crystal system = cubic
offset from the most stable computed form = 0 meV per atom


Sc2InPt: optimized geometry, PBE.

a = 4.7606 Å, b = 4.7606 Å, c = 4.7606 Å
α = 60.00°, β = 60.00°, γ = 60.00°
With the nearest neighbours (Å) after each atom.
Fractional positions:
Sc (0.0000, 0.0000, 0.0000)  4 Sc 2.92, 4 Pt 2.92
Sc (0.2500, 0.2500, 0.2500)  4 In 2.92, 4 Sc 2.92
In (0.5000, 0.5000, 0.5000)  4 Pt 2.92, 4 Sc 2.92
Pt (0.7500, 0.7500, 0.7500)  4 In 2.92, 4 Sc 2.92

Results
crystal system = cubic
electronic total energy = -0.2192 Ha/atom